[1]
5
Lattice="4.185 0.000 0.000 0.000 4.185 0.000 0.000 0.000 4.796" Properties=species:S:1:pos:R:3 comment="BeIrPbN2 PBE relaxed" magmom_total_mub_per_atom=0.0329 e_tot_ev_per_cell=-19.24 pbc="T T T"
Be 0.000 0.000 0.000
Ir 2.093 2.093 0.000
Pb 0.000 0.000 2.398
N 0.000 2.093 2.398
N 2.093 0.000 2.398

=====

[2]
8
Lattice="3.749 0.000 0.000 0.000 3.749 0.000 0.000 0.000 8.189" Properties=species:S:1:pos:R:3 comment="PmBeIrN PBE relaxed" magmom_total_mub_per_atom=0.0000 e_tot_ev_per_cell=-59.31 pbc="T T T"
Pm 0.937 0.937 1.301
Pm 2.812 2.812 6.888
Be 0.937 0.937 5.502
Be 2.812 2.812 2.687
Ir 0.937 2.812 4.095
Ir 2.812 0.937 4.095
N 0.937 0.937 7.108
N 2.812 2.812 1.081

=====

[3]
8
Lattice="3.787 0.000 0.000 0.000 3.787 0.000 0.000 0.000 8.251" Properties=species:S:1:pos:R:3 comment="PrBeIrN PBE relaxed" magmom_total_mub_per_atom=0.0000 e_tot_ev_per_cell=-59.02 pbc="T T T"
Pr 0.947 0.947 1.328
Pr 2.840 2.840 6.923
Be 0.947 0.947 5.522
Be 2.840 2.840 2.729
Ir 0.947 2.840 4.126
Ir 2.840 0.947 4.126
N 0.947 0.947 7.135
N 2.840 2.840 1.116

=====

[4]
5
Lattice="3.698 0.000 0.000 0.000 3.698 0.000 0.000 0.000 5.469" Properties=species:S:1:pos:R:3 comment="BeIrSN2 PBE relaxed" magmom_total_mub_per_atom=0.0000 de_polymorph_mev_per_atom=0 pbc="T T T"
Be 0.000 0.000 0.000
Ir 1.849 1.849 2.735
S 1.849 1.849 0.000
N 0.000 1.849 2.735
N 1.849 0.000 2.735

=====

[5]
5
Lattice="3.279 0.000 0.000 0.000 3.279 0.000 0.000 0.000 6.226" Properties=species:S:1:pos:R:3 comment="BeIrSN2 PBE relaxed" magmom_total_mub_per_atom=0.1346 de_polymorph_mev_per_atom=334 pbc="T T T"
Be 0.000 0.000 0.000
Ir 1.639 1.639 3.113
S 0.000 0.000 3.113
N 0.000 1.639 0.000
N 1.639 0.000 0.000

=====

[6]
5
Lattice="4.066 0.000 0.000 0.000 4.066 0.000 0.000 0.000 4.128" Properties=species:S:1:pos:R:3 comment="BeSi2IrN PBE relaxed" magmom_total_mub_per_atom=0.0000 e_tot_ev_per_cell=-24.27 pbc="T T T"
Be 0.000 0.000 0.000
Si 0.000 2.033 0.000
Si 2.033 0.000 0.000
Ir 0.000 0.000 2.064
N 2.033 2.033 2.064

=====

[7]
8
Lattice="3.736 0.000 0.000 0.000 3.736 0.000 0.000 0.000 8.171" Properties=species:S:1:pos:R:3 comment="SmBeIrN PBE relaxed" magmom_total_mub_per_atom=0.0000 e_tot_ev_per_cell=-59.32 pbc="T T T"
Sm 0.934 0.934 1.292
Sm 2.802 2.802 6.879
Be 0.934 0.934 5.497
Be 2.802 2.802 2.674
Ir 0.934 2.802 4.086
Ir 2.802 0.934 4.086
N 0.934 0.934 7.101
N 2.802 2.802 1.070

=====

[8]
5
Lattice="4.373 0.000 0.000 0.000 4.373 0.000 0.000 0.000 3.376" Properties=species:S:1:pos:R:3 comment="Ta2BeIrN PBE relaxed" magmom_total_mub_per_atom=0.0000 e_tot_ev_per_cell=-47.39 pbc="T T T"
Ta 0.000 2.186 0.000
Ta 2.186 0.000 0.000
Be 0.000 0.000 1.688
Ir 2.186 2.186 1.688
N 0.000 0.000 0.000

=====

[9]
5
Lattice="4.824 0.000 0.000 0.000 4.824 0.000 0.000 0.000 3.662" Properties=species:S:1:pos:R:3 comment="BeTcIr2N PBE relaxed" magmom_total_mub_per_atom=0.0000 e_tot_ev_per_cell=-32.43 pbc="T T T"
Be 0.000 0.000 0.000
Tc 2.412 2.412 1.831
Ir 0.000 2.412 1.831
Ir 2.412 0.000 1.831
N 2.412 2.412 0.000

=====

[10]
8
Lattice="3.892 0.000 0.000 0.000 3.892 0.000 0.000 0.000 7.759" Properties=species:S:1:pos:R:3 comment="ThBeIrN PBE relaxed" magmom_total_mub_per_atom=0.0000 e_tot_ev_per_cell=-65.52 pbc="T T T"
Th 0.973 0.973 1.367
Th 2.919 2.919 6.392
Be 0.973 0.973 5.115
Be 2.919 2.919 2.644
Ir 0.973 2.919 3.880
Ir 2.919 0.973 3.880
N 0.973 0.973 6.772
N 2.919 2.919 0.987

=====

[11]
8
Lattice="3.658 0.000 0.000 0.000 3.658 0.000 0.000 0.000 8.051" Properties=species:S:1:pos:R:3 comment="TmBeIrN PBE relaxed" magmom_total_mub_per_atom=0.0000 e_tot_ev_per_cell=-59.04 pbc="T T T"
Tm 0.914 0.914 1.227
Tm 2.743 2.743 6.825
Be 0.914 0.914 5.461
Be 2.743 2.743 2.590
Ir 0.914 2.743 4.026
Ir 2.743 0.914 4.026
N 0.914 0.914 7.055
N 2.743 2.743 0.996

=====

[12]
8
Lattice="3.769 0.000 0.000 0.000 3.769 0.000 0.000 0.000 7.674" Properties=species:S:1:pos:R:3 comment="UBeIrN PBE relaxed" magmom_total_mub_per_atom=0.5572 e_tot_ev_per_cell=-70.86 pbc="T T T"
U 0.942 0.942 1.296
U 2.826 2.826 6.378
Be 0.942 0.942 5.151
Be 2.826 2.826 2.523
Ir 0.942 2.826 3.837
Ir 2.826 0.942 3.837
N 0.942 0.942 6.789
N 2.826 2.826 0.886